Density functional theory data (PBE) for crystalline Rb2LiCo at its relaxed geometry.

Lattice parameters (Å, degrees): 6.172 6.172 6.172 60.00 60.00 60.00
Positions (direct):
Co  0.500  0.500  0.500
Rb  0.250  0.250  0.250
Rb  0.750  0.750  0.750
Li  0.000  0.000  0.000

Results
The calculated density comes out at 2.37 g cm⁻³. As for the symmetry: Fm-3m. The density of states at the Fermi level is 21.93 states/eV/cell. The total energy is -1.826 eV per atom.

Density functional theory data (PBE) for crystalline RbReTeN2 at its relaxed geometry.

Lattice parameters (Å, degrees): 4.115 4.115 6.824 90.00 90.00 90.00
Positions (direct):
Re  0.500  0.500  0.500
Te  0.000  0.000  0.500
Rb  0.000  0.000  0.000
N  0.000  0.500  0.000
N  0.500  0.000  0.000

Results
The calculated density comes out at 6.14 g cm⁻³. As for the symmetry: P4/mmm. The energy above the lowest structure with this stoichiometry comes out at 2.517 eV per atom. The density of states at the Fermi level is 3.87 states/eV/cell. The total energy is -3.422 eV per atom.